[1]
! Th2ZrH8, relaxed, DFT PBE; values from VASP
! symmetry = Immm
! crystal system = orthorhombic
! calculated total energy = -55.15 eV/cell
&SYSTEM
  ibrav = 0, nat = 11, ntyp = 3
/
ATOMIC_SPECIES
Th 232.04 Th.upf
Zr 91.22 Zr.upf
H 1.01 H.upf
ATOMIC_POSITIONS crystal
Th 0.163 0.163 0.000
Th 0.837 0.837 0.000
Zr 0.500 0.500 0.000
H 0.128 0.357 0.772
H 0.274 0.000 0.274
H 0.278 0.778 0.500
H 0.415 0.643 0.772
H 0.585 0.357 0.228
H 0.722 0.222 0.500
H 0.726 0.000 0.726
H 0.872 0.643 0.228
CELL_PARAMETERS angstrom
-1.936 2.324 6.140
1.936 -2.324 6.140
1.936 2.324 -6.140

---

[2]
! ThZr3H, relaxed, DFT PBE; values from VASP
! symmetry = Pm-3m
! crystal system = cubic
! calculated total energy = -36.62 eV/cell
&SYSTEM
  ibrav = 0, nat = 5, ntyp = 3
/
ATOMIC_SPECIES
Th 232.04 Th.upf
Zr 91.22 Zr.upf
H 1.01 H.upf
ATOMIC_POSITIONS crystal
Th 0.000 0.000 0.000
Zr 0.000 0.500 0.500
Zr 0.500 0.000 0.500
Zr 0.500 0.500 0.000
H 0.500 0.500 0.500
CELL_PARAMETERS angstrom
4.670 0.000 0.000
0.000 4.670 0.000
0.000 0.000 4.670

---

[3]
! ThZrH2, relaxed, DFT PBE; values from VASP
! energy relative to the lowest polymorph listed for this composition = 99 meV per atom
! symmetry = R3m
! crystal system = trigonal
! calculated total energy = -70.31 eV/cell
&SYSTEM
  ibrav = 0, nat = 12, ntyp = 3
/
ATOMIC_SPECIES
Th 232.04 Th.upf
Zr 91.22 Zr.upf
H 1.01 H.upf
ATOMIC_POSITIONS crystal
Th 0.000 0.000 0.000
Th 0.333 0.667 0.667
Th 0.667 0.333 0.333
Zr 0.000 0.000 0.826
Zr 0.333 0.667 0.492
Zr 0.667 0.333 0.159
H 0.000 0.000 0.221
H 0.000 0.000 0.435
H 0.333 0.667 0.102
H 0.333 0.667 0.888
H 0.667 0.333 0.555
H 0.667 0.333 0.769
CELL_PARAMETERS angstrom
3.329 0.000 0.000
-1.664 2.883 0.000
0.000 0.000 18.231

---

[4]
! ThZrH2, relaxed, DFT PBE; values from VASP
! energy relative to the lowest polymorph listed for this composition = 0 meV per atom
! symmetry = Pmn2_1
! crystal system = orthorhombic
! calculated total energy = -47.66 eV/cell
&SYSTEM
  ibrav = 0, nat = 8, ntyp = 3
/
ATOMIC_SPECIES
Th 232.04 Th.upf
Zr 91.22 Zr.upf
H 1.01 H.upf
ATOMIC_POSITIONS crystal
Th 0.000 0.144 0.000
Th 0.500 0.856 0.500
Zr 0.000 0.607 0.020
Zr 0.500 0.393 0.520
H 0.000 0.391 0.244
H 0.000 0.855 0.965
H 0.500 0.145 0.465
H 0.500 0.609 0.744
CELL_PARAMETERS angstrom
3.536 0.000 0.000
0.000 8.621 0.000
0.000 0.000 3.948

---

[5]
! Th3ZrH, relaxed, DFT PBE; values from VASP
! symmetry = Pm-3m
! crystal system = cubic
! calculated total energy = -34.12 eV/cell
&SYSTEM
  ibrav = 0, nat = 5, ntyp = 3
/
ATOMIC_SPECIES
Th 232.04 Th.upf
Zr 91.22 Zr.upf
H 1.01 H.upf
ATOMIC_POSITIONS crystal
Th 0.000 0.000 0.500
Th 0.000 0.500 0.000
Th 0.500 0.000 0.000
Zr 0.500 0.500 0.500
H 0.000 0.000 0.000
CELL_PARAMETERS angstrom
4.988 0.000 0.000
0.000 4.988 0.000
0.000 0.000 4.988

---

[6]
! ThZrH, relaxed, DFT PBE; values from VASP
! energy relative to the lowest polymorph listed for this composition = 0 meV per atom
! symmetry = P3m1
! crystal system = trigonal
! calculated total energy = -19.65 eV/cell
&SYSTEM
  ibrav = 0, nat = 3, ntyp = 3
/
ATOMIC_SPECIES
Th 232.04 Th.upf
Zr 91.22 Zr.upf
H 1.01 H.upf
ATOMIC_POSITIONS crystal
Th 0.000 0.000 0.000
Zr 0.667 0.333 0.491
H 0.333 0.667 0.676
CELL_PARAMETERS angstrom
3.376 0.000 0.000
-1.688 2.924 0.000
0.000 0.000 5.765

---

[7]
! ThZr2H, relaxed, DFT PBE; values from VASP
! energy relative to the lowest polymorph listed for this composition = 0 meV per atom
! symmetry = R-3m
! crystal system = trigonal
! calculated total energy = -82.70 eV/cell
&SYSTEM
  ibrav = 0, nat = 12, ntyp = 3
/
ATOMIC_SPECIES
Th 232.04 Th.upf
Zr 91.22 Zr.upf
H 1.01 H.upf
ATOMIC_POSITIONS crystal
Th 0.000 0.000 0.000
Th 0.333 0.667 0.667
Th 0.667 0.333 0.333
Zr 0.000 0.000 0.117
Zr 0.000 0.000 0.883
Zr 0.333 0.667 0.550
Zr 0.333 0.667 0.783
Zr 0.667 0.333 0.217
Zr 0.667 0.333 0.450
H 0.000 0.000 0.500
H 0.333 0.667 0.167
H 0.667 0.333 0.833
CELL_PARAMETERS angstrom
3.237 0.000 0.000
-1.619 2.804 0.000
0.000 0.000 26.508

---

[8]
! ThZrH, relaxed, DFT PBE; values from VASP
! energy relative to the lowest polymorph listed for this composition = 164 meV per atom
! symmetry = C2/m
! crystal system = monoclinic
! calculated total energy = -76.63 eV/cell
&SYSTEM
  ibrav = 0, nat = 12, ntyp = 3
/
ATOMIC_SPECIES
Th 232.04 Th.upf
Zr 91.22 Zr.upf
H 1.01 H.upf
ATOMIC_POSITIONS crystal
Th 0.072 0.000 0.258
Th 0.428 0.500 0.742
Th 0.572 0.500 0.258
Th 0.928 0.000 0.742
Zr 0.197 0.000 0.774
Zr 0.303 0.500 0.226
Zr 0.697 0.500 0.774
Zr 0.803 0.000 0.226
H 0.090 0.500 0.606
H 0.410 0.000 0.394
H 0.590 0.000 0.606
H 0.910 0.500 0.394
CELL_PARAMETERS angstrom
12.533 0.000 0.000
0.000 3.246 0.000
-0.318 0.000 5.716

---

[9]
! Ti3H, relaxed, DFT PBE; values from VASP
! energy relative to the lowest polymorph listed for this composition = 49 meV per atom
! symmetry = I-4
! crystal system = tetragonal
! calculated total energy = -107.65 eV/cell
&SYSTEM
  ibrav = 0, nat = 16, ntyp = 2
/
ATOMIC_SPECIES
Ti 47.87 Ti.upf
H 1.01 H.upf
ATOMIC_POSITIONS crystal
Ti 0.048 0.574 0.687
Ti 0.105 0.151 0.811
Ti 0.221 0.659 0.102
Ti 0.340 0.294 0.189
Ti 0.341 0.443 0.562
Ti 0.426 0.113 0.474
Ti 0.557 0.118 0.898
Ti 0.639 0.952 0.526
Ti 0.706 0.895 0.046
Ti 0.849 0.660 0.954
Ti 0.882 0.779 0.438
Ti 0.887 0.361 0.313
H 0.320 0.488 0.044
H 0.444 0.276 0.956
H 0.512 0.556 0.832
H 0.724 0.680 0.168
CELL_PARAMETERS angstrom
-4.720 4.720 2.488
4.720 -4.720 2.488
4.720 4.720 -2.488

---

[10]
! TiH2, relaxed, DFT PBE; values from VASP
! symmetry = P4_2/mnm
! crystal system = tetragonal
! calculated total energy = -30.95 eV/cell
&SYSTEM
  ibrav = 0, nat = 6, ntyp = 2
/
ATOMIC_SPECIES
Ti 47.87 Ti.upf
H 1.01 H.upf
ATOMIC_POSITIONS crystal
Ti 0.000 0.000 0.000
Ti 0.500 0.500 0.500
H 0.175 0.175 0.500
H 0.325 0.675 0.000
H 0.675 0.325 0.000
H 0.825 0.825 0.500
CELL_PARAMETERS angstrom
3.919 0.000 0.000
0.000 3.919 0.000
0.000 0.000 3.109

---

[11]
! Ti2H, relaxed, DFT PBE; values from VASP
! symmetry = Pn-3m
! crystal system = cubic
! calculated total energy = -39.54 eV/cell
&SYSTEM
  ibrav = 0, nat = 6, ntyp = 2
/
ATOMIC_SPECIES
Ti 47.87 Ti.upf
H 1.01 H.upf
ATOMIC_POSITIONS crystal
Ti 0.000 0.000 0.000
Ti 0.000 0.500 0.500
Ti 0.500 0.000 0.500
Ti 0.500 0.500 0.000
H 0.250 0.250 0.250
H 0.750 0.750 0.750
CELL_PARAMETERS angstrom
4.222 0.000 0.000
0.000 4.222 0.000
0.000 0.000 4.222

---

[12]
! Ti7H5, relaxed, DFT PBE; values from VASP
! symmetry = C2/m
! crystal system = monoclinic
! calculated total energy = -74.65 eV/cell
&SYSTEM
  ibrav = 0, nat = 12, ntyp = 2
/
ATOMIC_SPECIES
Ti 47.87 Ti.upf
H 1.01 H.upf
ATOMIC_POSITIONS crystal
Ti 0.000 0.000 0.000
Ti 0.145 0.145 0.569
Ti 0.215 0.215 0.855
Ti 0.438 0.438 0.714
Ti 0.562 0.562 0.286
Ti 0.785 0.785 0.145
Ti 0.855 0.855 0.431
H 0.231 0.231 0.287
H 0.417 0.417 0.103
H 0.500 0.500 0.500
H 0.583 0.583 0.897
H 0.769 0.769 0.713
CELL_PARAMETERS angstrom
4.820 -1.386 0.000
4.820 1.386 0.000
-2.341 0.000 9.502

---

[13]
! Ti3H5, relaxed, DFT PBE; values from VASP
! symmetry = P6_3/mcm
! crystal system = hexagonal
! calculated total energy = -84.78 eV/cell
&SYSTEM
  ibrav = 0, nat = 16, ntyp = 2
/
ATOMIC_SPECIES
Ti 47.87 Ti.upf
H 1.01 H.upf
ATOMIC_POSITIONS crystal
Ti 0.000 0.355 0.250
Ti 0.000 0.645 0.750
Ti 0.355 0.000 0.250
Ti 0.355 0.355 0.750
Ti 0.645 0.000 0.750
Ti 0.645 0.645 0.250
H 0.000 0.307 0.750
H 0.000 0.693 0.250
H 0.307 0.000 0.750
H 0.307 0.307 0.250
H 0.333 0.667 0.000
H 0.333 0.667 0.500
H 0.667 0.333 0.000
H 0.667 0.333 0.500
H 0.693 0.000 0.250
H 0.693 0.693 0.750
CELL_PARAMETERS angstrom
5.390 0.000 0.000
-2.695 4.668 0.000
0.000 0.000 4.974

---

[14]
! TiH3, relaxed, DFT PBE; values from VASP
! symmetry = Pm-3m
! crystal system = cubic
! calculated total energy = -18.77 eV/cell
&SYSTEM
  ibrav = 0, nat = 4, ntyp = 2
/
ATOMIC_SPECIES
Ti 47.87 Ti.upf
H 1.01 H.upf
ATOMIC_POSITIONS crystal
Ti 0.000 0.000 0.000
H 0.000 0.500 0.500
H 0.500 0.000 0.500
H 0.500 0.500 0.000
CELL_PARAMETERS angstrom
2.868 0.000 0.000
0.000 2.868 0.000
0.000 0.000 2.868

---

[15]
! Ti5H6, relaxed, DFT PBE; values from VASP
! energy relative to the lowest polymorph listed for this composition = 152 meV per atom
! symmetry = C2/m
! crystal system = monoclinic
! calculated total energy = -62.37 eV/cell
&SYSTEM
  ibrav = 0, nat = 11, ntyp = 2
/
ATOMIC_SPECIES
Ti 47.87 Ti.upf
H 1.01 H.upf
ATOMIC_POSITIONS crystal
Ti 0.000 0.000 0.000
Ti 0.166 0.834 0.500
Ti 0.333 0.667 0.000
Ti 0.667 0.333 0.000
Ti 0.834 0.166 0.500
H 0.067 0.415 0.244
H 0.238 0.238 0.763
H 0.415 0.067 0.244
H 0.585 0.933 0.756
H 0.762 0.762 0.237
H 0.933 0.585 0.756
CELL_PARAMETERS angstrom
2.521 -4.340 0.000
2.521 4.340 0.000
-1.733 0.000 4.700

---

[16]
! Ti3H4, relaxed, DFT PBE; values from VASP
! energy relative to the lowest polymorph listed for this composition = 131 meV per atom
! symmetry = Fmmm
! crystal system = orthorhombic
! calculated total energy = -39.02 eV/cell
&SYSTEM
  ibrav = 0, nat = 7, ntyp = 2
/
ATOMIC_SPECIES
Ti 47.87 Ti.upf
H 1.01 H.upf
ATOMIC_POSITIONS crystal
Ti 0.000 0.000 0.000
Ti 0.328 0.328 0.672
Ti 0.672 0.672 0.328
H 0.141 0.141 0.859
H 0.448 0.448 0.552
H 0.552 0.552 0.448
H 0.859 0.859 0.141
CELL_PARAMETERS angstrom
0.000 1.954 7.680
1.912 0.000 7.680
1.912 1.954 0.000

---

[17]
! Ti5H6, relaxed, DFT PBE; values from VASP
! energy relative to the lowest polymorph listed for this composition = 0 meV per atom
! symmetry = C2/m
! crystal system = monoclinic
! calculated total energy = -64.04 eV/cell
&SYSTEM
  ibrav = 0, nat = 11, ntyp = 2
/
ATOMIC_SPECIES
Ti 47.87 Ti.upf
H 1.01 H.upf
ATOMIC_POSITIONS crystal
Ti 0.000 0.000 0.000
Ti 0.195 0.195 0.199
Ti 0.402 0.402 0.397
Ti 0.598 0.598 0.603
Ti 0.805 0.805 0.801
H 0.058 0.545 0.298
H 0.250 0.750 0.500
H 0.455 0.942 0.702
H 0.545 0.058 0.298
H 0.750 0.250 0.500
H 0.942 0.455 0.702
CELL_PARAMETERS angstrom
7.632 -2.259 0.000
7.632 2.259 0.000
-0.493 0.000 2.919

---

[18]
! TiH3, relaxed, DFT PBE; values from VASP
! symmetry = I4/mmm
! crystal system = tetragonal
! calculated total energy = -32.94 eV/cell
&SYSTEM
  ibrav = 0, nat = 8, ntyp = 2
/
ATOMIC_SPECIES
Ti 47.87 Ti.upf
H 1.01 H.upf
ATOMIC_POSITIONS crystal
Ti 0.000 0.000 0.000
Ti 0.500 0.500 0.500
H 0.000 0.000 0.321
H 0.000 0.000 0.500
H 0.000 0.000 0.679
H 0.500 0.500 0.000
H 0.500 0.500 0.179
H 0.500 0.500 0.821
CELL_PARAMETERS angstrom
2.834 0.000 0.000
0.000 2.834 0.000
0.000 0.000 6.199

---

[19]
! Ti4H5, relaxed, DFT PBE; values from VASP
! energy relative to the lowest polymorph listed for this composition = 462 meV per atom
! symmetry = C2/m
! crystal system = monoclinic
! calculated total energy = -47.91 eV/cell
&SYSTEM
  ibrav = 0, nat = 9, ntyp = 2
/
ATOMIC_SPECIES
Ti 47.87 Ti.upf
H 1.01 H.upf
ATOMIC_POSITIONS crystal
Ti 0.114 0.629 0.809
Ti 0.371 0.886 0.191
Ti 0.629 0.114 0.809
Ti 0.886 0.371 0.191
H 0.000 0.000 0.500
H 0.218 0.218 0.728
H 0.343 0.657 0.500
H 0.657 0.343 0.500
H 0.782 0.782 0.272
CELL_PARAMETERS angstrom
5.293 -2.726 0.000
5.293 2.726 0.000
-0.473 0.000 2.761

---

[20]
! Ti3H, relaxed, DFT PBE; values from VASP
! energy relative to the lowest polymorph listed for this composition = 52 meV per atom
! symmetry = Pmm2
! crystal system = orthorhombic
! calculated total energy = -26.90 eV/cell
&SYSTEM
  ibrav = 0, nat = 4, ntyp = 2
/
ATOMIC_SPECIES
Ti 47.87 Ti.upf
H 1.01 H.upf
ATOMIC_POSITIONS crystal
Ti 0.000 0.000 0.000
Ti 0.000 0.500 0.356
Ti 0.500 0.500 0.714
H 0.500 0.000 0.460
CELL_PARAMETERS angstrom
2.753 0.000 0.000
0.000 2.756 0.000
0.000 0.000 7.169

---

no.,size of the total moment (μB per formula unit)
1,0.00
2,0.00
3,0.00
4,0.00
5,0.00
6,0.00
7,0.00
8,0.00
9,0.00
10,0.00
11,0.00
12,0.00
13,0.00
14,0.03
15,0.00
16,0.00
17,0.00
18,0.00
19,0.00
20,0.00